[1]
The following is a PBE+U calculation of a relaxed structure of Mn9Zn3O16, from the Alexandria database.

Total DFT energy (no corrections) in eV/atom: -6.96
SG: P-4m2, No. 115

a b c (Å): 5.848 5.848 9.419
angles (deg): 90.00 90.00 90.00
Sites, in units of the cell vectors:
1 Mn 0.000 0.000 0.000
2 Mn 0.000 0.250 0.376
3 Mn 0.000 0.750 0.376
4 Mn 0.250 0.000 0.624
5 Mn 0.251 0.500 0.128
6 Mn 0.500 0.251 0.872
7 Mn 0.500 0.749 0.872
8 Mn 0.749 0.500 0.128
9 Mn 0.750 0.000 0.624
10 Zn 0.000 0.500 0.749
11 Zn 0.500 0.000 0.251
12 Zn 0.500 0.500 0.500
13 O 0.000 0.226 0.619
14 O 0.000 0.277 0.135
15 O 0.000 0.723 0.135
16 O 0.000 0.774 0.619
17 O 0.226 0.000 0.381
18 O 0.226 0.500 0.371
19 O 0.273 0.500 0.880
20 O 0.277 0.000 0.865
21 O 0.500 0.226 0.629
22 O 0.500 0.273 0.120
23 O 0.500 0.727 0.120
24 O 0.500 0.774 0.629
25 O 0.723 0.000 0.865
26 O 0.727 0.500 0.880
27 O 0.774 0.000 0.381
28 O 0.774 0.500 0.371

[2]
The following is a PBE+U calculation of a relaxed structure of ZrMn2ZnO6, from the Alexandria database.

Total DFT energy (no corrections) in eV/atom: -7.21
SG: P1, No. 1

a b c (Å): 5.186 5.191 5.472
angles (deg): 118.02 90.25 119.68
Sites, in units of the cell vectors:
1 Zr 0.000 0.000 0.000
2 Mn 0.216 0.429 0.635
3 Mn 0.716 0.431 0.136
4 Zn 0.498 0.993 0.483
5 O 0.093 0.522 0.354
6 O 0.335 0.276 0.860
7 O 0.430 0.267 0.354
8 O 0.593 0.934 0.862
9 O 0.836 0.924 0.350
10 O 0.943 0.528 0.856

[3]
The following is a PBE+U calculation of a relaxed structure of Zr3Mn5O12, from the Alexandria database.

Total DFT energy (no corrections) in eV/atom: -8.22
SG: Ia-3d, No. 230

a b c (Å): 10.626 10.626 10.626
angles (deg): 109.47 109.47 109.47
Sites, in units of the cell vectors:
1 Zr 0.125 0.250 0.375
2 Zr 0.125 0.375 0.750
3 Zr 0.250 0.375 0.125
4 Zr 0.250 0.875 0.625
5 Zr 0.375 0.125 0.250
6 Zr 0.375 0.750 0.125
7 Zr 0.625 0.250 0.875
8 Zr 0.625 0.875 0.750
9 Zr 0.750 0.125 0.375
10 Zr 0.750 0.625 0.875
11 Zr 0.875 0.625 0.250
12 Zr 0.875 0.750 0.625
13 Mn 0.000 0.000 0.000
14 Mn 0.000 0.000 0.500
15 Mn 0.000 0.500 0.000
16 Mn 0.000 0.500 0.500
17 Mn 0.125 0.750 0.875
18 Mn 0.125 0.875 0.250
19 Mn 0.250 0.125 0.875
20 Mn 0.250 0.625 0.375
21 Mn 0.375 0.250 0.625
22 Mn 0.375 0.625 0.750
23 Mn 0.500 0.000 0.000
24 Mn 0.500 0.000 0.500
25 Mn 0.500 0.500 0.000
26 Mn 0.500 0.500 0.500
27 Mn 0.625 0.375 0.250
28 Mn 0.625 0.750 0.375
29 Mn 0.750 0.375 0.625
30 Mn 0.750 0.875 0.125
31 Mn 0.875 0.125 0.750
32 Mn 0.875 0.250 0.125
33 O 0.048 0.215 0.130
34 O 0.048 0.333 0.917
35 O 0.083 0.630 0.416
36 O 0.083 0.952 0.667
37 O 0.084 0.715 0.667
38 O 0.084 0.870 0.417
39 O 0.130 0.048 0.215
40 O 0.130 0.583 0.916
41 O 0.167 0.215 0.584
42 O 0.167 0.452 0.583
43 O 0.215 0.130 0.048
44 O 0.215 0.584 0.167
45 O 0.285 0.333 0.916
46 O 0.285 0.452 0.370
47 O 0.333 0.916 0.285
48 O 0.333 0.917 0.048
49 O 0.370 0.285 0.452
50 O 0.370 0.584 0.917
51 O 0.416 0.083 0.630
52 O 0.416 0.833 0.785
53 O 0.417 0.084 0.870
54 O 0.417 0.833 0.548
55 O 0.452 0.370 0.285
56 O 0.452 0.583 0.167
57 O 0.548 0.417 0.833
58 O 0.548 0.630 0.715
59 O 0.583 0.167 0.452
60 O 0.583 0.916 0.130
61 O 0.584 0.167 0.215
62 O 0.584 0.917 0.370
63 O 0.630 0.416 0.083
64 O 0.630 0.715 0.548
65 O 0.667 0.083 0.952
66 O 0.667 0.084 0.715
67 O 0.715 0.548 0.630
68 O 0.715 0.667 0.084
69 O 0.785 0.416 0.833
70 O 0.785 0.870 0.952
71 O 0.833 0.548 0.417
72 O 0.833 0.785 0.416
73 O 0.870 0.417 0.084
74 O 0.870 0.952 0.785
75 O 0.916 0.130 0.583
76 O 0.916 0.285 0.333
77 O 0.917 0.048 0.333
78 O 0.917 0.370 0.584
79 O 0.952 0.667 0.083
80 O 0.952 0.785 0.870

[4]
The following is a PBE+U calculation of a relaxed structure of Zr3MnO, from the Alexandria database.

Total DFT energy (no corrections) in eV/atom: -8.53
SG: Pm-3m, No. 221

a b c (Å): 4.503 4.503 4.503
angles (deg): 90.00 90.00 90.00
Sites, in units of the cell vectors:
1 Zr 0.000 0.000 0.500
2 Zr 0.000 0.500 0.000
3 Zr 0.500 0.000 0.000
4 Mn 0.500 0.500 0.500
5 O 0.000 0.000 0.000

[5]
The following is a PBE+U calculation of a relaxed structure of ZrMn2O4, from the Alexandria database.

Total DFT energy (no corrections) in eV/atom: -8.50
SG: C2/m, No. 12

a b c (Å): 6.134 6.134 5.356
angles (deg): 107.56 107.56 31.95
Sites, in units of the cell vectors:
1 Zr 0.000 0.000 0.000
2 Mn 0.350 0.350 0.446
3 Mn 0.650 0.650 0.554
4 O 0.158 0.158 0.324
5 O 0.445 0.445 0.187
6 O 0.555 0.555 0.813
7 O 0.842 0.842 0.676

[6]
The following is a PBE+U calculation of a relaxed structure of Zr3MnO, from the Alexandria database.

Total DFT energy (no corrections) in eV/atom: -6.45
SG: Pm-3m, No. 221

a b c (Å): 4.774 4.774 4.774
angles (deg): 90.00 90.00 90.00
Sites, in units of the cell vectors:
1 Zr 0.000 0.000 0.500
2 Zr 0.000 0.500 0.000
3 Zr 0.500 0.000 0.000
4 Mn 0.000 0.000 0.000
5 O 0.500 0.500 0.500

What is the total DFT energy (no corrections) in the sixth record?
-6.45 eV/atom

The lowest total DFT energy (no corrections) belongs to which entry?
number 4

Look up the total DFT energy (no corrections) of the third one.
-8.22 eV/atom